The following is a DFT calculation (PBE) of Dy2Y2TmLu2Ni2Te2 after structural relaxation.

Cell: 9.315 9.315 9.315 Å, 156.19 66.72 118.70°
Element x y z (fractional)
Dy 0.184 0.000 0.184
Dy 0.816 0.000 0.816
Y 0.501 0.647 0.854
Y 0.793 0.647 0.146
Tm 0.880 0.380 0.500
Lu 0.162 0.796 0.367
Lu 0.429 0.796 0.633
Ni 0.050 0.309 0.741
Ni 0.568 0.309 0.259
Te 0.147 0.147 0.000
Te 0.538 0.038 0.500

Results
Space group ... Imm2
Crystal system ... orthorhombic
Offset from the most stable computed form ... 12 meV per atom
E_tot ... -5.495 eV per atom